Entry 1:
GGA-PBE HgSbTe, relaxed; N(E_F) = 3.1 states/eV/f.u.; M_tot = 0.0 μB/cell; V = 33.33 Å³/atom; formation energy from raw total energies = 0.213 eV/atom
1.0
0.000 3.684 3.684
3.684 0.000 3.684
3.684 3.684 0.000
Hg Sb Te
1 1 1
Direct
0.000 0.000 0.000
0.750 0.750 0.750
0.500 0.500 0.500



Entry 2:
GGA-PBE Hg2SbTe2, relaxed; N(E_F) = 2.5 states/eV/f.u.; M_tot = 0.0 μB/cell; V = 28.48 Å³/atom; formation energy from raw total energies = 0.254 eV/atom
1.0
8.270 0.000 0.000
0.000 8.270 0.000
0.000 0.000 4.164
Hg Sb Te
4 2 4
Direct
0.119 0.381 0.000
0.381 0.881 0.000
0.619 0.119 0.000
0.881 0.619 0.000
0.000 0.000 0.000
0.500 0.500 0.000
0.204 0.704 0.500
0.296 0.204 0.500
0.704 0.796 0.500
0.796 0.296 0.500



Entry 3:
GGA-PBE Hg2SbTe, relaxed; N(E_F) = 1.8 states/eV/f.u.; M_tot = 0.0 μB/cell; V = 30.92 Å³/atom; formation energy from raw total energies = 0.127 eV/atom
1.0
3.154 0.000 0.000
0.000 5.953 0.000
0.000 0.000 6.588
Hg Sb Te
2 1 1
Direct
0.000 0.249 0.000
0.000 0.751 0.000
0.500 0.500 0.500
0.500 0.000 0.500



Entry 4:
GGA-PBE Hg2SbTe, relaxed; N(E_F) = 2.8 states/eV/f.u.; M_tot = 0.0 μB/cell; V = 30.74 Å³/atom; formation energy from raw total energies = 0.123 eV/atom
1.0
4.313 0.000 0.000
0.000 4.313 0.000
0.000 0.000 6.608
Hg Sb Te
2 1 1
Direct
0.000 0.500 0.000
0.500 0.000 0.000
0.000 0.000 0.500
0.500 0.500 0.500



Entry 5:
GGA-PBE Hg12Sb3Te5, relaxed; N(E_F) = 10.9 states/eV/f.u.; M_tot = 0.0 μB/cell; V = 33.07 Å³/atom; formation energy from raw total energies = 0.077 eV/atom
1.0
-8.713 8.713 8.713
8.713 -8.713 8.713
8.713 8.713 -8.713
Hg Sb Te
48 12 20
Direct
0.066 0.237 0.138
0.066 0.329 0.928
0.072 0.638 0.401
0.072 0.934 0.671
0.099 0.737 0.671
0.099 0.862 0.428
0.138 0.066 0.237
0.138 0.572 0.901
0.171 0.237 0.599
0.171 0.434 0.572
0.237 0.138 0.066
0.237 0.599 0.171
0.263 0.329 0.901
0.263 0.434 0.362
0.329 0.901 0.263
0.329 0.928 0.066
0.362 0.263 0.434
0.362 0.599 0.928
0.401 0.072 0.638
0.401 0.829 0.763
0.428 0.099 0.862
0.428 0.829 0.566
0.434 0.362 0.263
0.434 0.572 0.171
0.566 0.428 0.829
0.566 0.638 0.737
0.572 0.171 0.434
0.572 0.901 0.138
0.599 0.171 0.237
0.599 0.928 0.362
0.638 0.401 0.072
0.638 0.737 0.566
0.671 0.072 0.934
0.671 0.099 0.737
0.737 0.566 0.638
0.737 0.671 0.099
0.763 0.401 0.829
0.763 0.862 0.934
0.829 0.566 0.428
0.829 0.763 0.401
0.862 0.428 0.099
0.862 0.934 0.763
0.901 0.138 0.572
0.901 0.263 0.329
0.928 0.066 0.329
0.928 0.362 0.599
0.934 0.671 0.072
0.934 0.763 0.862
0.125 0.250 0.375
0.125 0.375 0.750
0.250 0.375 0.125
0.250 0.875 0.625
0.375 0.125 0.250
0.375 0.750 0.125
0.625 0.250 0.875
0.625 0.875 0.750
0.750 0.125 0.375
0.750 0.625 0.875
0.875 0.625 0.250
0.875 0.750 0.625
0.000 0.000 0.000
0.000 0.000 0.500
0.000 0.500 0.000
0.000 0.500 0.500
0.125 0.750 0.875
0.125 0.875 0.250
0.250 0.125 0.875
0.250 0.625 0.375
0.375 0.250 0.625
0.375 0.625 0.750
0.500 0.000 0.000
0.500 0.000 0.500
0.500 0.500 0.000
0.500 0.500 0.500
0.625 0.375 0.250
0.625 0.750 0.375
0.750 0.375 0.625
0.750 0.875 0.125
0.875 0.125 0.750
0.875 0.250 0.125



Entry 6:
GGA-PBE HgSb2Te2, relaxed; N(E_F) = 2.2 states/eV/f.u.; M_tot = 0.0 μB/cell; V = 31.30 Å³/atom; formation energy from raw total energies = 0.055 eV/atom
1.0
8.649 0.000 0.000
0.000 8.649 0.000
0.000 0.000 4.184
Hg Sb Te
2 4 4
Direct
0.000 0.000 0.000
0.500 0.500 0.000
0.187 0.313 0.000
0.313 0.813 0.000
0.687 0.187 0.000
0.813 0.687 0.000
0.147 0.647 0.500
0.353 0.147 0.500
0.647 0.853 0.500
0.853 0.353 0.500



Entry 7:
GGA-PBE Tl3HgSb2Te6, relaxed; N(E_F) = 7.0 states/eV/f.u.; M_tot = 0.0 μB/cell; V = 33.34 Å³/atom; formation energy from raw total energies = -0.171 eV/atom
1.0
3.870 -6.699 0.000
3.870 6.699 0.000
-2.561 0.000 7.716
Tl Hg Sb Te
3 1 2 6
Direct
0.000 0.000 0.000
0.331 0.669 0.000
0.669 0.331 0.000
0.500 0.500 0.500
0.166 0.834 0.500
0.834 0.166 0.500
0.092 0.425 0.276
0.242 0.242 0.723
0.425 0.092 0.276
0.575 0.908 0.724
0.758 0.758 0.277
0.908 0.575 0.724



Entry 8:
GGA-PBE TlHgSb2Te, relaxed; N(E_F) = 5.5 states/eV/f.u.; M_tot = 0.7 μB/cell; V = 39.37 Å³/atom; formation energy from raw total energies = 0.762 eV/atom
1.0
5.794 0.000 0.000
0.000 5.794 0.000
0.000 0.000 5.864
Tl Hg Sb Te
1 1 2 1
Direct
0.000 0.000 0.000
0.500 0.500 0.500
0.000 0.500 0.000
0.500 0.000 0.000
0.000 0.000 0.500



Entry 9:
GGA-PBE Tl2HgSbTe, relaxed; N(E_F) = 1.5 states/eV/f.u.; M_tot = 0.0 μB/cell; V = 38.22 Å³/atom; formation energy from raw total energies = 0.174 eV/atom
1.0
5.895 0.000 0.000
0.000 5.895 0.000
0.000 0.000 5.499
Tl Hg Sb Te
2 1 1 1
Direct
0.000 0.500 0.000
0.500 0.000 0.000
0.000 0.000 0.500
0.000 0.000 0.000
0.500 0.500 0.500



Entry 10:
GGA-PBE TlHgSbTe3, relaxed; M_tot = 0.0 μB/cell; V = 35.02 Å³/atom; formation energy from raw total energies = -0.172 eV/atom
1.0
9.192 0.000 0.000
0.000 4.533 0.000
-2.441 0.000 10.086
Tl Hg Sb Te
2 2 2 6
Direct
0.199 0.250 0.247
0.801 0.750 0.753
0.090 0.250 0.612
0.910 0.750 0.388
0.328 0.750 0.873
0.672 0.250 0.127
0.104 0.250 0.891
0.242 0.750 0.530
0.444 0.750 0.158
0.556 0.250 0.842
0.758 0.250 0.470
0.896 0.750 0.109



Entry 11:
GGA-PBE TlHgSb2Te, relaxed; N(E_F) = 4.5 states/eV/f.u.; M_tot = 0.4 μB/cell; V = 36.72 Å³/atom; formation energy from raw total energies = 0.506 eV/atom
1.0
5.578 0.000 0.000
0.000 5.578 0.000
0.000 0.000 5.901
Tl Hg Sb Te
1 1 2 1
Direct
0.000 0.000 0.000
0.500 0.500 0.500
0.000 0.500 0.500
0.500 0.000 0.500
0.500 0.500 0.000



Entry 12:
GGA-PBE Tl2HgSbTe4, relaxed; N(E_F) = 3.2 states/eV/f.u.; M_tot = 0.0 μB/cell; V = 33.87 Å³/atom; formation energy from raw total energies = -0.141 eV/atom
1.0
-4.313 4.313 3.642
4.313 -4.313 3.642
4.313 4.313 -3.642
Tl Hg Sb Te
2 1 1 4
Direct
0.000 0.500 0.500
0.500 0.000 0.500
0.000 0.000 0.000
0.500 0.500 0.000
0.067 0.440 0.000
0.440 0.067 0.000
0.560 0.560 0.626
0.933 0.933 0.374



Entry 13:
GGA-PBE VHgSb2Te, relaxed; N(E_F) = 3.0 states/eV/f.u.; M_tot = 0.0 μB/cell; V = 27.99 Å³/atom; formation energy from raw total energies = 0.223 eV/atom
1.0
5.190 0.000 0.000
0.000 5.190 0.000
0.000 0.000 5.196
V Hg Sb Te
1 1 2 1
Direct
0.000 0.000 0.000
0.500 0.500 0.500
0.000 0.500 0.000
0.500 0.000 0.000
0.000 0.000 0.500



Entry 14:
GGA-PBE VHgSb2Te, relaxed; N(E_F) = 8.2 states/eV/f.u.; M_tot = 3.3 μB/cell; V = 33.84 Å³/atom; formation energy from raw total energies = 1.155 eV/atom
1.0
5.459 0.000 0.000
0.000 5.459 0.000
0.000 0.000 5.678
V Hg Sb Te
1 1 2 1
Direct
0.000 0.000 0.000
0.500 0.500 0.500
0.000 0.500 0.500
0.500 0.000 0.500
0.500 0.500 0.000



Entry 15:
GGA-PBE HgSb2TeW, relaxed; N(E_F) = 3.9 states/eV/f.u.; M_tot = 0.0 μB/cell; V = 30.12 Å³/atom; formation energy from raw total energies = 0.534 eV/atom
1.0
5.340 0.000 0.000
0.000 5.340 0.000
0.000 0.000 5.280
Hg Sb Te W
1 2 1 1
Direct
0.000 0.000 0.000
0.000 0.500 0.500
0.500 0.000 0.500
0.500 0.500 0.000
0.500 0.500 0.500



Entry 16:
GGA-PBE HgSb2TeW, relaxed; N(E_F) = 4.7 states/eV/f.u.; M_tot = 3.2 μB/cell; V = 32.55 Å³/atom; formation energy from raw total energies = 1.775 eV/atom
1.0
5.423 0.000 0.000
0.000 5.423 0.000
0.000 0.000 5.534
Hg Sb Te W
1 2 1 1
Direct
0.000 0.000 0.000
0.000 0.500 0.000
0.500 0.000 0.000
0.000 0.000 0.500
0.500 0.500 0.500



Entry 17:
GGA-PBE HgSbTe2W, relaxed; N(E_F) = 4.6 states/eV/f.u.; M_tot = 0.0 μB/cell; V = 30.56 Å³/atom; formation energy from raw total energies = 0.509 eV/atom
1.0
5.330 0.000 0.000
0.000 5.330 0.000
0.000 0.000 5.378
Hg Sb Te W
1 1 2 1
Direct
0.000 0.000 0.000
0.500 0.500 0.000
0.000 0.500 0.500
0.500 0.000 0.500
0.500 0.500 0.500



Entry 18:
GGA-PBE HgSbTe2W, relaxed; N(E_F) = 4.3 states/eV/f.u.; M_tot = 3.1 μB/cell; V = 33.15 Å³/atom; formation energy from raw total energies = 1.729 eV/atom
1.0
5.515 0.000 0.000
0.000 5.515 0.000
0.000 0.000 5.449
Hg Sb Te W
1 1 2 1
Direct
0.000 0.000 0.000
0.000 0.000 0.500
0.000 0.500 0.000
0.500 0.000 0.000
0.500 0.500 0.500



Entry 19:
GGA-PBE YHgSb2Te, relaxed; N(E_F) = 5.9 states/eV/f.u.; M_tot = 0.0 μB/cell; V = 40.04 Å³/atom; formation energy from raw total energies = 0.136 eV/atom
1.0
5.880 0.000 0.000
0.000 5.880 0.000
0.000 0.000 5.791
Y Hg Sb Te
1 1 2 1
Direct
0.000 0.000 0.000
0.500 0.500 0.500
0.000 0.500 0.000
0.500 0.000 0.000
0.000 0.000 0.500



Entry 20:
GGA-PBE YHgSb2Te, relaxed; N(E_F) = 3.4 states/eV/f.u.; M_tot = 0.0 μB/cell; V = 33.54 Å³/atom; formation energy from raw total energies = 0.336 eV/atom
1.0
5.476 0.000 0.000
0.000 5.476 0.000
0.000 0.000 5.592
Y Hg Sb Te
1 1 2 1
Direct
0.000 0.000 0.000
0.500 0.500 0.500
0.000 0.500 0.500
0.500 0.000 0.500
0.500 0.500 0.000



Which ρ belongs to each record? In order, 7.5 9.1 8.7 8.8 8.6 7.4 7.6 6.5 7.5 7.2 7.0 7.6 7.4 6.1 8.3 7.7 8.3 7.6 5.5 6.5 g cm⁻³.